[1]
{"formula": "TaBi", "functional": "PBE", "state": "relaxed", "e_form_ev_per_atom": 0.78, "lattice": [[-6.3416, -10.6605, -2.1886], [8.6429, -6.4728, 6.4850], [-1.7503, 0.4667, 2.7985]], "species": ["Ta", "Ta", "Ta", "Ta", "Ta", "Ta", "Ta", "Ta", "Bi", "Bi", "Bi", "Bi", "Bi", "Bi", "Bi", "Bi"], "frac_coords": [[0.3280, 0.7773, 0.0000], [0.6720, 0.2227, 0.0000], [0.2227, 0.3280, 0.0000], [0.7773, 0.6720, 0.0000], [0.8280, 0.2773, 0.5000], [0.1720, 0.7227, 0.5000], [0.7227, 0.8280, 0.5000], [0.2773, 0.1720, 0.5000], [0.4460, 0.2780, 0.0000], [0.5540, 0.7220, 0.0000], [0.7220, 0.4460, 0.0000], [0.2780, 0.5540, 0.0000], [0.9460, 0.7780, 0.5000], [0.0540, 0.2220, 0.5000], [0.2220, 0.9460, 0.5000], [0.7780, 0.0540, 0.5000]]}

[2]
{"formula": "Ce2Ni5Ir", "functional": "PBE", "state": "relaxed", "e_form_ev_per_atom": -0.37, "lattice": [[5.5374, -0.0203, -0.0289], [-2.7439, 4.8097, 0.0289], [-2.7439, -1.6090, 4.5327]], "species": ["Ce", "Ce", "Ni", "Ni", "Ni", "Ni", "Ni", "Ir"], "frac_coords": [[0.5000, 0.2777, 0.7777], [0.5000, 0.7777, 0.2777], [0.5001, 0.7778, 0.7778], [0.0000, 0.7778, 0.2778], [0.0000, 0.2778, 0.7778], [0.4999, 0.2778, 0.2778], [0.0000, 0.2777, 0.2777], [0.0000, 0.7777, 0.7777]]}

[3]
{"formula": "Ac2La5Nd4", "functional": "PBE", "state": "relaxed", "de_polymorph_ev_per_fu": 1.31, "e_form_ev_per_atom": 0.14, "lattice": [[7.2466, 0.0000, 0.0000], [3.6233, 6.2920, 1.3467], [3.6233, 2.5161, 9.7778]], "species": ["Ac", "Ac", "La", "La", "La", "La", "La", "Nd", "Nd", "Nd", "Nd"], "frac_coords": [[0.1704, 0.8346, 0.8245], [0.8296, 0.1654, 0.1755], [0.2247, 0.2818, 0.8298], [0.7753, 0.7182, 0.1702], [0.0000, 0.5000, 0.5000], [0.6638, 0.2818, 0.8298], [0.3362, 0.7182, 0.1702], [0.3625, 0.7858, 0.4891], [0.6375, 0.2142, 0.5109], [0.7146, 0.7366, 0.8341], [0.2854, 0.2634, 0.1659]]}

[4]
{"formula": "PtWAu2", "functional": "PBE", "state": "relaxed", "de_polymorph_ev_per_fu": 0.30, "e_form_ev_per_atom": 0.08, "lattice": [[9.5463, -0.0133, -0.0078], [9.1169, 2.8310, -0.0078], [9.1169, 1.3764, 2.4739]], "species": ["Au", "Au", "Pt", "W"], "frac_coords": [[0.0027, 0.0027, 0.0027], [0.2490, 0.2490, 0.2490], [0.4959, 0.4959, 0.4959], [0.7524, 0.7524, 0.7524]]}

[5]
{"formula": "Si2MoAs", "functional": "PBE", "state": "relaxed", "formation_energy_uncorrected_ev_per_atom": 0.14, "lattice": [[3.3635, 0.0000, 0.0000], [0.0000, 3.3749, 0.0148], [0.0000, 3.3513, 5.2646]], "species": ["As", "Mo", "Si", "Si"], "frac_coords": [[0.5000, 0.2500, 0.2500], [0.5000, 0.7500, 0.7500], [0.0000, 0.0051, 0.9950], [0.0000, 0.4949, 0.5050]]}

[6]
{"formula": "Mn4FeMo", "functional": "PBE", "state": "relaxed", "e_form_ev_per_atom": 0.06, "lattice": [[-3.0214, -1.1608, 3.3416], [-4.5694, 0.0625, -0.8714], [-2.3676, -3.9942, -0.2898]], "species": ["Mn", "Mn", "Mn", "Mn", "Fe", "Mo"], "frac_coords": [[0.6264, 0.6264, 0.1208], [0.6264, 0.1208, 0.6264], [0.6264, 0.6264, 0.6264], [0.1208, 0.6264, 0.6264], [0.0000, 0.0000, 0.0000], [0.2500, 0.2500, 0.2500]]}

Number 1: spin magnetization 0.0 μB/cell. Number 2: spin magnetization 0.0 μB/cell. Number 3: spin magnetization 0.0 μB/cell. Number 4: spin magnetization 0.0 μB/cell. Number 5: spin magnetization 0.0 μB/cell. Number 6: spin magnetization 1.0 μB/cell.